A plane-wave DFT calculation with PBE was carried out for YZrH2 after structural relaxation.

## Properties
- Size of the total moment: 0.33 Bohr magnetons per cell
- Fermi-level density of states: 3.846 states/eV/f.u.
- ΔE to the lowest computed polymorph: 0 meV/atom

Cell: 5.108 5.108 5.905 Å, 64.38 64.38 90.00°
Site moments in Bohr magnetons follow the coordinates.
Positions (direct):
H: 0.875 0.904 0.750  0.00
H: 0.375 0.346 0.750  0.00
Y: 0.500 0.500 0.000  0.03
Y: 0.250 0.750 0.500  0.03
H: 0.096 0.625 0.250  0.00
Zr: 0.750 0.250 0.500  0.06
H: 0.654 0.125 0.250  0.00
Zr: 0.000 0.000 0.000  0.06